1.
A plane-wave DFT calculation with PBE was carried out for Pr2MgAs after structural relaxation.

## Properties
DOS at the Fermi energy ... 2.83 states/eV/f.u.
ΔE to the lowest computed polymorph ... 0.0000 eV/atom
Energy of formation ... -641 meV/atom

The structure in POSCAR format:
```
Pr2MgAs
1.0
-1.5572 3.6277 -0.0078
-3.5529 -1.5234 0.8012
1.2925 0.5695 6.8145
Pr As Mg
2 1 1
direct
0.0000 0.0000 0.7680
0.0000 0.0000 0.2320
0.5000 0.5000 0.0000
0.5000 0.5000 0.5000
```

2.
A plane-wave DFT calculation with PBE was carried out for Nb2CdO after structural relaxation.

## Properties
E_form (uncorrected) ... 1.796 eV/f.u.
DOS at the Fermi energy ... 1.60 states/eV/f.u.
ΔE to the lowest computed polymorph ... 0.8372 eV/atom

The structure in POSCAR format:
```
Nb2CdO
1.0
0.0000 3.1829 3.1829
3.1829 0.0000 3.1829
3.1829 3.1829 0.0000
Nb O Cd
2 1 1
direct
0.2500 0.2500 0.2500
0.7500 0.7500 0.7500
0.0000 0.0000 0.0000
0.5000 0.5000 0.5000
```

3.
A plane-wave DFT calculation with PBE was carried out for CoTcIr2 after structural relaxation.

## Properties
DOS at the Fermi energy ... 6.64 states/eV/f.u.
ΔE to the lowest computed polymorph ... 0.4307 eV/atom
Energy of formation ... 343 meV/atom

The structure in POSCAR format:
```
CoTcIr2
1.0
4.3030 0.0000 0.0000
2.1515 3.7265 0.0000
2.1515 1.2422 3.5134
Co Ir Tc
1 2 1
direct
0.5000 0.5000 0.5000
0.0000 0.0000 0.0000
0.7500 0.7500 0.7500
0.2500 0.2500 0.2500
```

4.
A plane-wave DFT calculation with PBE was carried out for K2GeIrN after structural relaxation.

## Properties
E_form (uncorrected) ... 1.320 eV/f.u.
DOS at the Fermi energy ... 3.27 states/eV/f.u.

The structure in POSCAR format:
```
K2GeIrN
1.0
-3.5147 3.6288 -2.9291
1.6338 -0.9865 -3.1826
-3.8908 -4.3038 -0.6633
Ge Ir K N
1 1 2 1
direct
0.5000 0.5000 0.5000
0.0000 0.5000 0.0000
0.0000 0.0000 0.5000
0.5000 0.0000 0.0000
0.0000 0.0000 0.0000
```

5.
A plane-wave DFT calculation with PBE was carried out for NaMnBe2 after structural relaxation.

## Properties
DOS at the Fermi energy ... 2.08 states/eV/f.u.
ΔE to the lowest computed polymorph ... 0.0000 eV/atom
Energy of formation ... 684 meV/atom

The structure in POSCAR format:
```
NaMnBe2
1.0
0.0000 2.9777 2.9777
2.9777 0.0000 2.9777
2.9777 2.9777 0.0000
Na Mn Be
1 1 2
direct
0.0000 0.0000 0.0000
0.5000 0.5000 0.5000
0.2500 0.2500 0.2500
0.7500 0.7500 0.7500
```

6.
A plane-wave DFT calculation with PBE was carried out for CeInRuRh after structural relaxation.

## Properties
DOS at the Fermi energy ... 1.21 states/eV/f.u.
ΔE to the lowest computed polymorph ... 0.0000 eV/atom
Energy of formation ... -523 meV/atom

The structure in POSCAR format:
```
CeInRuRh
1.0
3.6206 0.0000 0.0000
0.0000 4.3646 0.0000
0.0000 0.0000 4.6974
Ce In Ru Rh
1 1 1 1
direct
0.5000 0.5000 0.0000
0.5000 0.0000 0.5000
0.0000 0.0000 0.0000
0.0000 0.5000 0.5000
```

7.
A plane-wave DFT calculation with PBE was carried out for Cs2HfSi after structural relaxation.

## Properties
E_form (uncorrected) ... 5.956 eV/f.u.
DOS at the Fermi energy ... 2.35 states/eV/f.u.

The structure in POSCAR format:
```
Cs2HfSi
1.0
0.4151 3.0034 5.0998
-2.1790 5.5048 0.3866
-4.8646 1.0447 3.2318
Cs Si Hf
2 1 1
direct
0.2500 0.2500 0.2500
0.7500 0.7500 0.7500
0.0000 0.0000 0.0000
0.5000 0.5000 0.5000
```

8.
A plane-wave DFT calculation with PBE was carried out for CeYSn6 after structural relaxation.

## Properties
DOS at the Fermi energy ... 7.20 states/eV/f.u.
Energy of formation ... -480 meV/atom

The structure in POSCAR format:
```
CeYSn6
1.0
-4.4649 -1.0984 -1.0980
1.5374 -2.6520 -3.5986
0.4380 -7.4707 5.6926
Ce Y Sn
1 1 6
direct
0.0000 0.0000 0.5000
0.0000 0.0000 0.0000
0.5000 0.5000 0.0000
0.5000 0.5000 0.5000
0.5000 0.0000 0.2489
0.5000 0.0000 0.7511
0.0000 0.5000 0.2489
0.0000 0.5000 0.7511
```

What final energy values result from the calculations? In sequence: -18.37 -24.22 -33.82 -22.68 -15.20 -27.39 -11.13 -40.26 eV for the cell shown.
What volume values result from the calculations? In sequence: 27.1 16.1 14.1 25.3 13.2 18.6 36.9 26.3 Å³ per atom.